1.
Entry from Alexandria via LeMat-Bulk: a relaxed structure of Tl3CdI4 (PBE-GGA).

abc: 6.871 10.467 11.513
angles: 90.00 90.00 90.00
Atoms (fractional coordinates):
Tl 0.064 0.665 0.242
I 0.564 0.672 0.260
Tl 0.564 0.335 0.258
I 0.564 0.672 0.740
Tl 0.064 0.665 0.758
I 0.065 0.826 0.500
Cd 0.564 0.827 0.500
Tl 0.564 0.844 0.000
Tl 0.564 0.335 0.742
I 0.064 0.328 0.240
Tl 0.064 0.156 0.500
I 0.565 0.133 0.500
I 0.064 0.328 0.760
Cd 0.064 0.173 0.000
I 0.565 0.174 0.000
I 0.065 0.867 0.000

Values from the calculation:
- final energy (eV/cell) = -36.2
- raw formation energy (eV/atom) = -0.485

---

2.
Entry from Alexandria via LeMat-Bulk: a relaxed structure of Ac4BeSi3 (PBE-GGA).

abc: 4.683 4.076 11.771
angles: 90.00 90.00 90.00
Atoms (fractional coordinates):
Ac 0.000 0.000 0.141
Ac 0.000 0.500 0.860
Si 0.500 0.000 0.945
Ac 0.500 0.000 0.644
Ac 0.500 0.500 0.359
Si 0.000 0.000 0.439
Be 0.500 0.500 0.047
Si 0.000 0.500 0.565

Values from the calculation:
- final energy (eV/cell) = -39.7
- raw formation energy (eV/atom) = -0.415

---

3.
Entry from Alexandria via LeMat-Bulk: a relaxed structure of Pr4SiSn (PBE-GGA).

abc: 5.943 8.033 8.838
angles: 105.99 109.65 90.00
Atoms (fractional coordinates):
Pr 0.448 0.955 0.153
Pr 0.552 0.045 0.847
Si 0.000 0.500 0.500
Pr 0.954 0.868 0.661
Pr 0.707 0.368 0.661
Sn 0.876 0.750 0.000
Pr 0.295 0.545 0.847
Sn 0.124 0.250 0.000
Pr 0.046 0.132 0.339
Si 0.500 0.000 0.500
Pr 0.293 0.632 0.339
Pr 0.705 0.455 0.153

Values from the calculation:
- final energy (eV/cell) = -61.6
- raw formation energy (eV/atom) = -0.379